Below is Th2CdIn2 after structural relaxation, with properties calculated at the PBE-GGA level.

```
data_Th2CdIn2
_chemical_formula_sum 'Th2 Cd1 In2'
_cell_length_a 3.478
_cell_length_b 4.969
_cell_length_c 8.329
_cell_angle_alpha 107.36
_cell_angle_beta 90.00
_cell_angle_gamma 90.00
_symmetry_space_group_name_H-M 'P 1'
_symmetry_Int_Tables_number 1
_symmetry_space_group_name_Hall 'P 1'
loop_
_atom_site_label
_atom_site_fract_x
_atom_site_fract_y
_atom_site_fract_z
Th1 0.500 0.388 0.775
Th2 0.500 0.612 0.225
Cd1 0.000 0.000 0.000
In1 0.000 0.801 0.602
In2 0.000 0.199 0.398
```

Results
Formation energy from the elements: -0.21 eV per atom
Total energy: -22.30 eV/cell
Magnetization: 0.00 μB/cell
N(E_F): 0.6931 states/eV per atom